1.
Below is an optimized crystal structure of In4Bi2I, with properties calculated at the PBE level.

Density ... 5.62 g cm⁻³
Formation energy without anion corrections ... 0.26 eV per atom
Size of the total moment ... 0.00 μB/f.u.

a b c (Å): 9.017 9.017 9.017
angles (deg): 140.30 140.30 57.39
Atoms (fractional coordinates):
In  0.000  0.500  0.500
In  0.207  0.207  0.000
In  0.500  0.000  0.500
In  0.793  0.793  0.000
Bi  0.402  0.402  0.000
Bi  0.598  0.598  0.000
I  0.000  0.000  0.000

2.
Below is an optimized crystal structure of In5BiI8, with properties calculated at the PBE level.

Density ... 5.34 g cm⁻³
Formation energy without anion corrections ... -0.40 eV per atom
Size of the total moment ... 0.00 μB/f.u.

a b c (Å): 8.991 8.991 8.991
angles (deg): 109.65 109.65 109.12
Atoms (fractional coordinates):
In  0.000  0.000  0.000
In  0.102  0.504  0.876
In  0.496  0.373  0.599
In  0.627  0.226  0.124
In  0.774  0.898  0.401
Bi  0.250  0.750  0.500
I  0.036  0.295  0.391
I  0.252  0.113  0.725
I  0.355  0.964  0.259
I  0.387  0.527  0.275
I  0.473  0.748  0.860
I  0.705  0.096  0.741
I  0.887  0.613  0.140
I  0.904  0.645  0.609

3.
Below is an optimized crystal structure of In4BiI6, with properties calculated at the PBE level.

Density ... 5.40 g cm⁻³
Formation energy without anion corrections ... -0.33 eV per atom
Size of the total moment ... 0.83 μB/f.u.

a b c (Å): 9.396 9.396 9.960
angles (deg): 90.00 90.00 90.00
Atoms (fractional coordinates):
In  0.155  0.345  0.250
In  0.155  0.345  0.750
In  0.345  0.845  0.250
In  0.345  0.845  0.750
In  0.655  0.155  0.250
In  0.655  0.155  0.750
In  0.845  0.655  0.250
In  0.845  0.655  0.750
Bi  0.000  0.000  0.000
Bi  0.500  0.500  0.500
I  0.000  0.000  0.306
I  0.000  0.000  0.694
I  0.142  0.676  0.000
I  0.176  0.642  0.500
I  0.324  0.142  0.000
I  0.358  0.176  0.500
I  0.500  0.500  0.194
I  0.500  0.500  0.806
I  0.642  0.824  0.500
I  0.676  0.858  0.000
I  0.824  0.358  0.500
I  0.858  0.324  0.000

4.
Below is an optimized crystal structure of In12Bi3I5, with properties calculated at the PBE level.

Density ... 4.98 g cm⁻³
Formation energy without anion corrections ... -0.01 eV per atom
Size of the total moment ... 0.00 μB/f.u.

a b c (Å): 16.600 16.600 16.600
angles (deg): 109.47 109.47 109.47
Atoms (fractional coordinates):
In  0.073  0.231  0.155
In  0.073  0.342  0.917
In  0.076  0.731  0.658
In  0.076  0.845  0.417
In  0.083  0.655  0.424
In  0.083  0.927  0.658
In  0.155  0.073  0.231
In  0.155  0.583  0.924
In  0.158  0.231  0.576
In  0.158  0.427  0.583
In  0.231  0.155  0.073
In  0.231  0.576  0.158
In  0.269  0.342  0.924
In  0.269  0.427  0.345
In  0.342  0.917  0.073
In  0.342  0.924  0.269
In  0.345  0.269  0.427
In  0.345  0.576  0.917
In  0.417  0.076  0.845
In  0.417  0.842  0.573
In  0.424  0.083  0.655
In  0.424  0.842  0.769
In  0.427  0.345  0.269
In  0.427  0.583  0.158
In  0.573  0.417  0.842
In  0.573  0.655  0.731
In  0.576  0.158  0.231
In  0.576  0.917  0.345
In  0.583  0.158  0.427
In  0.583  0.924  0.155
In  0.655  0.424  0.083
In  0.655  0.731  0.573
In  0.658  0.076  0.731
In  0.658  0.083  0.927
In  0.731  0.573  0.655
In  0.731  0.658  0.076
In  0.769  0.424  0.842
In  0.769  0.845  0.927
In  0.842  0.573  0.417
In  0.842  0.769  0.424
In  0.845  0.417  0.076
In  0.845  0.927  0.769
In  0.917  0.073  0.342
In  0.917  0.345  0.576
In  0.924  0.155  0.583
In  0.924  0.269  0.342
In  0.927  0.658  0.083
In  0.927  0.769  0.845
Bi  0.125  0.250  0.375
Bi  0.125  0.375  0.750
Bi  0.250  0.375  0.125
Bi  0.250  0.875  0.625
Bi  0.375  0.125  0.250
Bi  0.375  0.750  0.125
Bi  0.625  0.250  0.875
Bi  0.625  0.875  0.750
Bi  0.750  0.125  0.375
Bi  0.750  0.625  0.875
Bi  0.875  0.625  0.250
Bi  0.875  0.750  0.625
I  0.000  0.000  0.000
I  0.000  0.000  0.500
I  0.000  0.500  0.000
I  0.000  0.500  0.500
I  0.125  0.750  0.875
I  0.125  0.875  0.250
I  0.250  0.125  0.875
I  0.250  0.625  0.375
I  0.375  0.250  0.625
I  0.375  0.625  0.750
I  0.500  0.000  0.000
I  0.500  0.000  0.500
I  0.500  0.500  0.000
I  0.500  0.500  0.500
I  0.625  0.375  0.250
I  0.625  0.750  0.375
I  0.750  0.375  0.625
I  0.750  0.875  0.125
I  0.875  0.125  0.750
I  0.875  0.250  0.125

5.
Below is an optimized crystal structure of InBi2I, with properties calculated at the PBE level.

Density ... 5.79 g cm⁻³
Formation energy without anion corrections ... 0.30 eV per atom
Size of the total moment ... 0.00 μB/f.u.

a b c (Å): 8.962 8.962 8.962
angles (deg): 132.96 132.96 68.71
Atoms (fractional coordinates):
In  0.000  0.000  0.000
In  0.750  0.250  0.500
Bi  0.083  0.625  0.958
Bi  0.375  0.333  0.458
Bi  0.667  0.125  0.042
Bi  0.875  0.917  0.542
I  0.250  0.750  0.500
I  0.500  0.500  0.000

6.
Below is an optimized crystal structure of InBi3I, with properties calculated at the PBE level.

Density ... 7.66 g cm⁻³
Formation energy without anion corrections ... -0.04 eV per atom
Size of the total moment ... 0.00 μB/f.u.

a b c (Å): 7.151 6.945 8.132
angles (deg): 90.00 111.25 90.00
Atoms (fractional coordinates):
In  0.156  0.000  0.099
In  0.844  0.500  0.901
Bi  0.006  0.664  0.270
Bi  0.341  0.362  0.330
Bi  0.446  0.240  0.716
Bi  0.554  0.740  0.284
Bi  0.659  0.862  0.670
Bi  0.994  0.164  0.730
I  0.250  0.647  0.810
I  0.750  0.147  0.190

7.
Below is an optimized crystal structure of InBiI, with properties calculated at the PBE level.

Density ... 5.91 g cm⁻³
Formation energy without anion corrections ... -0.23 eV per atom
Size of the total moment ... 0.00 μB/f.u.

a b c (Å): 4.483 4.486 14.763
angles (deg): 98.58 90.16 119.92
Atoms (fractional coordinates):
In  0.191  0.379  0.071
In  0.809  0.621  0.929
Bi  0.314  0.630  0.443
Bi  0.686  0.370  0.557
I  0.434  0.873  0.805
I  0.566  0.127  0.195

8.
Below is an optimized crystal structure of InBi2I, with properties calculated at the PBE level.

Density ... 8.82 g cm⁻³
Formation energy without anion corrections ... 0.18 eV per atom
Size of the total moment ... 0.00 μB/f.u.

a b c (Å): 5.600 5.600 5.600
angles (deg): 60.00 60.00 60.00
Atoms (fractional coordinates):
In  0.000  0.000  0.000
Bi  0.250  0.250  0.250
Bi  0.750  0.750  0.750
I  0.500  0.500  0.500

9.
Below is an optimized crystal structure of InBi3I, with properties calculated at the PBE level.

Density ... 7.25 g cm⁻³
Formation energy without anion corrections ... 0.58 eV per atom
Size of the total moment ... 0.00 μB/f.u.

a b c (Å): 5.839 5.839 5.839
angles (deg): 90.00 90.00 90.00
Atoms (fractional coordinates):
In  0.000  0.000  0.000
Bi  0.000  0.000  0.500
Bi  0.000  0.500  0.000
Bi  0.500  0.000  0.000
I  0.500  0.500  0.500

10.
Below is an optimized crystal structure of K2InBiI6, with properties calculated at the PBE level.

Density ... 3.97 g cm⁻³
Formation energy without anion corrections ... -0.87 eV per atom
Size of the total moment ... 0.00 μB/f.u.

a b c (Å): 9.019 9.019 9.019
angles (deg): 57.34 57.34 57.34
Atoms (fractional coordinates):
K  0.000  0.000  0.000
K  0.492  0.492  0.492
In  0.202  0.202  0.202
Bi  0.696  0.696  0.696
I  0.041  0.451  0.828
I  0.346  0.917  0.573
I  0.451  0.828  0.041
I  0.573  0.346  0.917
I  0.828  0.041  0.451
I  0.917  0.573  0.346

11.
Below is an optimized crystal structure of KIn2BiI6, with properties calculated at the PBE level.

Density ... 4.20 g cm⁻³
Formation energy without anion corrections ... -0.65 eV per atom
Size of the total moment ... 0.00 μB/f.u.

a b c (Å): 9.063 9.063 9.063
angles (deg): 56.97 56.97 56.97
Atoms (fractional coordinates):
K  0.000  0.000  0.000
In  0.297  0.297  0.297
In  0.807  0.807  0.807
Bi  0.491  0.491  0.491
I  0.121  0.689  0.405
I  0.253  0.595  0.851
I  0.405  0.121  0.689
I  0.595  0.851  0.253
I  0.689  0.405  0.121
I  0.851  0.253  0.595

12.
Below is an optimized crystal structure of Li2InBiI6, with properties calculated at the PBE level.

Density ... 4.69 g cm⁻³
Formation energy without anion corrections ... -0.72 eV per atom
Size of the total moment ... 0.00 μB/f.u.

a b c (Å): 8.548 8.548 8.548
angles (deg): 54.88 54.88 54.88
Atoms (fractional coordinates):
Li  0.000  0.000  0.000
Li  0.481  0.481  0.481
In  0.295  0.295  0.295
Bi  0.808  0.808  0.808
I  0.086  0.386  0.733
I  0.226  0.836  0.629
I  0.386  0.733  0.086
I  0.629  0.226  0.836
I  0.733  0.086  0.386
I  0.836  0.629  0.226

13.
Below is an optimized crystal structure of InBiI2N, with properties calculated at the PBE level.

Density ... 5.54 g cm⁻³
Formation energy without anion corrections ... 0.43 eV per atom
Size of the total moment ... 0.26 μB/f.u.

a b c (Å): 6.339 6.339 4.410
angles (deg): 90.00 90.00 90.00
Atoms (fractional coordinates):
In  0.000  0.000  0.000
Bi  0.500  0.500  0.500
I  0.000  0.500  0.500
I  0.500  0.000  0.500
N  0.500  0.500  0.000

14.
Below is an optimized crystal structure of InBiI2N, with properties calculated at the PBE level.

Density ... 6.43 g cm⁻³
Formation energy without anion corrections ... 0.65 eV per atom
Size of the total moment ... 0.00 μB/f.u.

a b c (Å): 6.212 6.212 3.958
angles (deg): 90.00 90.00 90.00
Atoms (fractional coordinates):
In  0.000  0.000  0.000
Bi  0.500  0.500  0.500
I  0.000  0.500  0.000
I  0.500  0.000  0.000
N  0.000  0.000  0.500

15.
Below is an optimized crystal structure of InBiI2N, with properties calculated at the PBE level.

Density ... 4.90 g cm⁻³
Formation energy without anion corrections ... 1.57 eV per atom
Size of the total moment ... 0.00 μB/f.u.

a b c (Å): 5.742 5.742 6.085
angles (deg): 90.00 90.00 90.00
Atoms (fractional coordinates):
In  0.000  0.000  0.000
Bi  0.000  0.000  0.500
I  0.000  0.500  0.000
I  0.500  0.000  0.000
N  0.500  0.500  0.500

16.
Below is an optimized crystal structure of NaIn2BiI6, with properties calculated at the PBE level.

Density ... 4.48 g cm⁻³
Formation energy without anion corrections ... -0.60 eV per atom
Size of the total moment ... 0.00 μB/f.u.

a b c (Å): 8.752 8.752 8.752
angles (deg): 58.10 58.10 58.10
Atoms (fractional coordinates):
Na  0.000  0.000  0.000
In  0.293  0.293  0.293
In  0.799  0.799  0.799
Bi  0.493  0.493  0.493
I  0.135  0.712  0.366
I  0.241  0.631  0.843
I  0.366  0.135  0.712
I  0.631  0.843  0.241
I  0.712  0.366  0.135
I  0.843  0.241  0.631

17.
Below is an optimized crystal structure of Na2InBiI6, with properties calculated at the PBE level.

Density ... 4.34 g cm⁻³
Formation energy without anion corrections ... -0.77 eV per atom
Size of the total moment ... 0.00 μB/f.u.

a b c (Å): 8.152 8.161 8.859
angles (deg): 90.04 117.36 119.95
Atoms (fractional coordinates):
Na  0.000  0.000  0.000
Na  0.024  0.512  0.536
In  0.393  0.696  0.091
Bi  0.376  0.188  0.564
I  0.182  0.389  0.307
I  0.211  0.279  0.790
I  0.511  0.933  0.791
I  0.514  0.124  0.307
I  0.857  0.578  0.790
I  0.917  0.793  0.307

18.
Below is an optimized crystal structure of NbIn2BiI, with properties calculated at the PBE level.

Density ... 5.15 g cm⁻³
Formation energy without anion corrections ... 1.38 eV per atom
Size of the total moment ... 3.81 μB/f.u.

a b c (Å): 5.961 5.961 5.973
angles (deg): 90.00 90.00 90.00
Atoms (fractional coordinates):
Nb  0.000  0.000  0.000
In  0.000  0.500  0.500
In  0.500  0.000  0.500
Bi  0.500  0.500  0.000
I  0.500  0.500  0.500

19.
Below is an optimized crystal structure of Nb2InBiI, with properties calculated at the PBE level.

Density ... 6.59 g cm⁻³
Formation energy without anion corrections ... 1.64 eV per atom
Size of the total moment ... 3.63 μB/f.u.

a b c (Å): 5.395 5.395 5.508
angles (deg): 90.00 90.00 90.00
Atoms (fractional coordinates):
Nb  0.000  0.500  0.000
Nb  0.500  0.000  0.000
In  0.000  0.000  0.000
Bi  0.500  0.500  0.500
I  0.000  0.000  0.500

20.
Below is an optimized crystal structure of In2NiBiI, with properties calculated at the PBE level.

Density ... 7.42 g cm⁻³
Formation energy without anion corrections ... -0.05 eV per atom
Size of the total moment ... 0.00 μB/f.u.

a b c (Å): 5.155 5.155 5.260
angles (deg): 90.00 90.00 90.00
Atoms (fractional coordinates):
In  0.000  0.500  0.000
In  0.500  0.000  0.000
Ni  0.000  0.000  0.000
Bi  0.000  0.000  0.500
I  0.500  0.500  0.500

21.
Below is an optimized crystal structure of InBiI2O, with properties calculated at the PBE level.

Density ... 7.29 g cm⁻³
Formation energy without anion corrections ... 0.21 eV per atom
Size of the total moment ... 0.00 μB/f.u.

a b c (Å): 5.042 5.042 5.320
angles (deg): 90.00 90.00 90.00
Atoms (fractional coordinates):
In  0.000  0.000  0.000
Bi  0.500  0.500  0.000
I  0.000  0.500  0.500
I  0.500  0.000  0.500
O  0.000  0.000  0.500